# 1
Computed, not measured: a relaxed MoPb2Au crystal at the GGA-PBEsol level of DFT.

SG	No. 216
volume	87.6	Å³ per cell

abc: 4.984 4.984 4.984
angles: 60.00 60.00 60.00
Positions (direct):
Mo (0.000, 0.000, 0.000)
Pb (0.250, 0.250, 0.250)
Pb (0.500, 0.500, 0.500)
Au (0.750, 0.750, 0.750)



# 2
Computed, not measured: a relaxed MoPb2Au crystal at the GGA-PBEsol level of DFT.

SG	No. 65
volume	85.3	Å³ per cell

abc: 3.087 3.087 9.266
angles: 90.00 90.00 104.96
Positions (direct):
Mo (0.000, 0.000, 0.000)
Pb (0.500, 0.500, 0.239)
Pb (0.500, 0.500, 0.761)
Au (0.000, 0.000, 0.500)



# 3
Computed, not measured: a relaxed MoPbAu4 crystal at the GGA-PBEsol level of DFT.

SG	No. 216
volume	116.2	Å³ per cell

abc: 5.477 5.477 5.477
angles: 60.00 60.00 60.00
Positions (direct):
Mo (0.000, 0.000, 0.000)
Pb (0.250, 0.250, 0.250)
Au (0.124, 0.625, 0.625)
Au (0.625, 0.124, 0.625)
Au (0.625, 0.625, 0.124)
Au (0.625, 0.625, 0.625)



# 4
Computed, not measured: a relaxed ReMoPbAu2 crystal at the GGA-PBEsol level of DFT.

SG	No. 123
volume	117.5	Å³ per cell

abc: 5.058 5.058 4.594
angles: 90.00 90.00 90.00
Positions (direct):
Re (0.000, 0.000, 0.000)
Mo (0.000, 0.000, 0.500)
Pb (0.500, 0.500, 0.000)
Au (0.000, 0.500, 0.500)
Au (0.500, 0.000, 0.500)



no.,energy of formation (eV per formula unit)
1,3.17
2,2.49
3,2.85
4,6.93